(1)
SbOs2Se: relaxed, GGA-PBEsol.

For the uncorrected energy, the calculation gives -7.582 eV per atom. Its density of states at the Fermi level is 3.25 states/eV/f.u. The calculation puts the volume at 17.6 Å³ per atom.

It has space group Imm2 (No. 44), with a = 2.9632 Å, b = 3.9555 Å, c = 11.9799 Å, α = 90.00°, β = 90.00° and γ = 90.00°. The distinct sites, in fractional coordinates, are Sb at (0.0000, 0.0000, 0.0000), Os at (0.0000, 0.0000, 0.6065), Os at (0.0000, 0.5000, 0.3023) and Se at (0.0000, 0.5000, 0.7567).

=====

(2)
KBa2Cl2: relaxed, GGA-PBEsol.

For the uncorrected energy, the calculation gives -3.277 eV per atom. Its density of states at the Fermi level is 3.29 states/eV/f.u. The calculation puts the volume at 45.6 Å³ per atom.

It has space group I4/mmm (No. 139), with a = 5.4331 Å, b = 5.4331 Å, c = 15.4513 Å, α = 90.00°, β = 90.00° and γ = 90.00°. The distinct sites, in fractional coordinates, are K at (0.0000, 0.0000, 0.0000), Ba at (0.0000, 0.0000, 0.3498) and Cl at (0.0000, 0.5000, 0.2500).

=====

(3)
HfCrN2: relaxed, GGA-PBEsol.

For the uncorrected energy, the calculation gives -10.472 eV per atom. Its density of states at the Fermi level is 2.11 states/eV/f.u. The calculation puts the volume at 12.2 Å³ per atom.

It has space group I-42d (No. 122), with a = 4.5546 Å, b = 4.5546 Å, c = 9.4243 Å, α = 90.00°, β = 90.00° and γ = 90.00°. The distinct sites, in fractional coordinates, are Hf at (0.0000, 0.0000, 0.0000), Cr at (0.0000, 0.0000, 0.5000) and N at (0.2203, 0.2500, 0.6250).

=====

(4)
TlFeAu: relaxed, GGA-PBEsol.

The calculated formation energy is 0.49 eV/atom. Its density of states at the Fermi level is 2.28 states/eV/f.u. The calculation puts the volume at 18.0 Å³ per atom.

It has space group P3m1 (No. 156), with a = 4.4153 Å, b = 4.4153 Å, c = 3.1907 Å, α = 90.00°, β = 90.00° and γ = 120.00°. The distinct sites, in fractional coordinates, are Tl at (0.0000, 0.0000, 0.0000), Fe at (0.6667, 0.3333, 0.6315) and Au at (0.3333, 0.6667, 0.3931).